# 1
Compound: YCdIn
Source: the Alexandria database
Functional: PBE-GGA
Structure: relaxed

a = 3.6505 Å, b = 3.6505 Å, c = 7.1516 Å
α = 90.00°, β = 90.00°, γ = 120.00°
Element x y z (fractional)
In (0.6667, 0.3333, 0.3228)
Y (0.3333, 0.6667, 0.6683)
Cd (0.0000, 0.0000, 0.0089)

calculated volume: 82.5 Å³/cell
space group: P3m1, No. 156
DOS at the Fermi energy: 1.79 states/eV per cell
E_tot: -3.5049 eV/atom

---

# 2
Compound: Ba2GePbN
Source: the Alexandria database
Functional: PBE-GGA
Structure: relaxed

a = 5.6078 Å, b = 4.8006 Å, c = 5.6078 Å
α = 90.00°, β = 90.00°, γ = 90.00°
Element x y z (fractional)
Pb (0.0000, 0.5000, 0.0000)
Ba (0.5000, 0.0000, 0.0000)
Ba (0.0000, 0.0000, 0.5000)
Ge (0.5000, 0.5000, 0.5000)
N (0.0000, 0.0000, 0.0000)

calculated volume: 151.0 Å³/cell
excess energy over the best structure of this formula in the dataset: 350 meV per atom
space group: P4/mmm, No. 123
E_form (uncorrected): -172.8 meV per atom
DOS at the Fermi energy: 4.74 states/eV per cell

---

# 3
Compound: HfTlOs
Source: the Alexandria database
Functional: PBE-GGA
Structure: relaxed

a = 3.2847 Å, b = 14.5373 Å, c = 4.9691 Å
α = 90.00°, β = 90.00°, γ = 90.00°
Element x y z (fractional)
Os (0.0000, 0.1772, 0.6763)
Os (0.0000, 0.6772, 0.1763)
Os (0.0000, 0.3228, 0.1763)
Os (0.0000, 0.8228, 0.6763)
Tl (0.0000, 0.0000, 0.3620)
Tl (0.5000, 0.0000, 0.8543)
Tl (0.5000, 0.5000, 0.3543)
Tl (0.0000, 0.5000, 0.8620)
Hf (0.5000, 0.1780, 0.1803)
Hf (0.5000, 0.8220, 0.1803)
Hf (0.5000, 0.6780, 0.6803)
Hf (0.5000, 0.3220, 0.6803)

calculated volume: 237.3 Å³/cell
excess energy over the best structure of this formula in the dataset: 114 meV per atom
space group: Amm2, No. 38
DOS at the Fermi energy: 3.59 states/eV per cell

---

# 4
Compound: PaHg2I5
Source: the Alexandria database
Functional: PBE-GGA
Structure: relaxed

a = 8.7359 Å, b = 8.7314 Å, c = 8.7526 Å
α = 119.92°, β = 119.94°, γ = 89.99°
Element x y z (fractional)
I (0.7840, 0.2470, 0.0310)
I (0.7841, 0.7841, 0.0311)
I (0.7461, 0.7461, 0.4922)
I (0.2471, 0.7841, 0.0310)
I (0.2470, 0.2470, 0.0309)
Hg (0.7461, 0.2462, 0.4925)
Hg (0.2462, 0.7461, 0.4925)
Pa (0.9765, 0.9765, 0.9528)

calculated volume: 473.1 Å³/cell
excess energy over the best structure of this formula in the dataset: 64 meV per atom
space group: I4mm, No. 107
E_form (uncorrected): -585.9 meV per atom

---

# 5
Compound: Mn2MoRu
Source: the Alexandria database
Functional: PBE-GGA
Structure: relaxed

a = 4.6363 Å, b = 4.6363 Å, c = 4.5698 Å
α = 79.58°, β = 79.58°, γ = 33.69°
Site moments in Bohr magnetons follow the coordinates.
Element x y z (fractional)
Mn (0.9979, 0.9979, 0.0079)  -1.83
Mn (0.2594, 0.2594, 0.2320)  2.06
Ru (0.7405, 0.7405, 0.7606)  -0.02
Mo (0.5022, 0.5022, 0.4996)  0.05

calculated volume: 53.5 Å³/cell
space group: Cm, No. 8
DOS at the Fermi energy: 4.61 states/eV per cell
E_tot: -9.4868 eV/atom

---

# 6
Compound: Pr8ZnHg2
Source: the Alexandria database
Functional: PBE-GGA
Structure: relaxed

a = 5.5093 Å, b = 6.8404 Å, c = 9.6520 Å
α = 92.00°, β = 106.58°, γ = 90.00°
Element x y z (fractional)
Hg (0.8475, 0.8580, 0.6949)
Hg (0.1525, 0.1420, 0.3051)
Zn (0.5000, 0.0000, 0.0000)
Pr (0.9692, 0.2349, 0.9383)
Pr (0.7905, 0.4129, 0.5811)
Pr (0.6708, 0.9083, 0.3416)
Pr (0.5917, 0.4067, 0.1834)
Pr (0.3292, 0.0917, 0.6584)
Pr (0.0308, 0.7651, 0.0617)
Pr (0.4083, 0.5933, 0.8166)
Pr (0.2095, 0.5871, 0.4189)

calculated volume: 348.4 Å³/cell
excess energy over the best structure of this formula in the dataset: 0 meV per atom
space group: C2/m, No. 12
DOS at the Fermi energy: 13.43 states/eV per cell

---

# 7
Compound: LuNb2
Source: the Alexandria database
Functional: PBE-GGA
Structure: relaxed

a = 5.6838 Å, b = 5.6838 Å, c = 5.6838 Å
α = 60.00°, β = 60.00°, γ = 60.00°
Element x y z (fractional)
Lu (0.2500, 0.2500, 0.2500)
Lu (0.0000, 0.0000, 0.0000)
Nb (0.1250, 0.6250, 0.6250)
Nb (0.6250, 0.6250, 0.1250)
Nb (0.6250, 0.6250, 0.6250)
Nb (0.6250, 0.1250, 0.6250)

calculated volume: 129.8 Å³/cell
excess energy over the best structure of this formula in the dataset: 38 meV per atom
space group: Fd-3m, No. 227
DOS at the Fermi energy: 12.86 states/eV per cell

---

# 8
Compound: PmHo4In4
Source: the Alexandria database
Functional: PBE-GGA
Structure: relaxed

a = 7.2344 Å, b = 7.2344 Å, c = 10.5332 Å
α = 90.00°, β = 90.00°, γ = 90.00°
Element x y z (fractional)
Ho (0.2680, 0.0000, 0.5882)
Ho (0.7320, 0.0000, 0.5882)
Ho (0.0000, 0.7320, 0.4118)
Ho (0.2320, 0.5000, 0.9118)
Ho (0.5000, 0.7680, 0.0882)
Ho (0.0000, 0.2680, 0.4118)
Ho (0.7680, 0.5000, 0.9118)
Ho (0.5000, 0.2320, 0.0882)
In (0.0000, 0.2863, 0.7098)
In (0.2137, 0.5000, 0.2098)
In (0.0000, 0.7137, 0.7098)
In (0.7863, 0.5000, 0.2098)
In (0.2863, 0.0000, 0.2902)
In (0.5000, 0.7863, 0.7902)
In (0.5000, 0.2137, 0.7902)
In (0.7137, 0.0000, 0.2902)
Pm (0.5000, 0.5000, 0.5000)
Pm (0.0000, 0.0000, 0.0000)

calculated volume: 551.3 Å³/cell
space group: P4_2/nmc, No. 137
DOS at the Fermi energy: 12.70 states/eV per cell
E_tot: -3.9438 eV/atom

---

| no. | size of the total moment (μB/f.u.) |
| --- | --- |
| 1 | 0.00 |
| 2 | 0.00 |
| 3 | 0.00 |
| 4 | 0.00 |
| 5 | 0.26 |
| 6 | 0.00 |
| 7 | 0.00 |
| 8 | 0.00 |